# 1
! Rb2Tl2Pb, relaxed, DFT PBE; values from VASP
&SYSTEM
  ibrav = 0, nat = 10, ntyp = 3
/
ATOMIC_SPECIES
Rb 85.47 Rb.upf
Tl 204.38 Tl.upf
Pb 207.20 Pb.upf
CELL_PARAMETERS angstrom
10.9240 0.0000 0.0000
0.0000 10.9240 0.0000
0.0000 0.0000 3.4991
ATOMIC_POSITIONS angstrom
Rb 2.0696 3.3924 0.0000
Rb 3.3924 8.8544 0.0000
Rb 7.5316 2.0696 0.0000
Rb 8.8544 7.5316 0.0000
Tl 1.1600 6.6220 1.7495
Tl 4.3020 1.1600 1.7495
Tl 6.6220 9.7640 1.7495
Tl 9.7640 4.3020 1.7495
Pb 0.0000 0.0000 0.0000
Pb 5.4620 5.4620 0.0000
! * distance to the lowest polymorph of the same formula: 0.2748 eV per atom
! * crystal system: tetragonal
! * SG: P4/mbm (127)
! * V: 41.76 Å³/atom
! * ΔE_f: 169 meV/atom

---

# 2
! KYCu2, relaxed, DFT PBE; values from VASP
&SYSTEM
  ibrav = 0, nat = 4, ntyp = 3
/
ATOMIC_SPECIES
K 39.10 K.upf
Y 88.91 Y.upf
Cu 63.55 Cu.upf
CELL_PARAMETERS angstrom
3.4242 0.0000 0.0000
0.0000 3.4242 0.0000
0.0000 0.0000 8.7505
ATOMIC_POSITIONS angstrom
K 0.0000 0.0000 0.0000
Y 1.7121 1.7121 3.6231
Cu 0.0000 0.0000 5.3571
Cu 1.7121 1.7121 6.3065
! * distance to the lowest polymorph of the same formula: 0.1411 eV per atom
! * crystal system: tetragonal
! * SG: P4mm (99)
! * V: 25.65 Å³/atom
! * ΔE_f: 203 meV/atom

---

# 3
! Eu2SnP, relaxed, DFT PBE; values from VASP
&SYSTEM
  ibrav = 0, nat = 4, ntyp = 3
/
ATOMIC_SPECIES
Eu 151.96 Eu.upf
Sn 118.71 Sn.upf
P 30.97 P.upf
CELL_PARAMETERS angstrom
3.5751 0.0000 0.0000
0.0000 3.5751 0.0000
0.0000 0.0000 8.3267
ATOMIC_POSITIONS angstrom
Eu 0.0000 0.0000 1.6945
Eu 0.0000 0.0000 6.6322
Sn 1.7876 1.7876 4.1634
P 1.7876 1.7876 0.0000
! * distance to the lowest polymorph of the same formula: 0.0000 eV per atom
! * crystal system: tetragonal
! * SG: P4/mmm (123)
! * V: 26.61 Å³/atom
! * ΔE_f: -811 meV/atom

---

# 4
! Ba2CdGaHg6, relaxed, DFT PBE; values from VASP
&SYSTEM
  ibrav = 0, nat = 10, ntyp = 4
/
ATOMIC_SPECIES
Ba 137.33 Ba.upf
Cd 112.41 Cd.upf
Ga 69.72 Ga.upf
Hg 200.59 Hg.upf
CELL_PARAMETERS angstrom
7.5414 0.0000 0.0000
-3.6145 6.7408 0.0000
-3.6048 -2.3628 6.3541
ATOMIC_POSITIONS angstrom
Ba 5.7329 0.7782 1.8122
Ba -5.4107 3.5998 4.5419
Cd 1.9683 -1.1814 3.1770
Ga 1.9635 3.3704 0.0000
Hg -3.4871 -0.1041 4.7333
Hg -0.5353 4.0517 0.9804
Hg 1.9608 1.1479 1.5442
Hg -1.6386 3.2301 4.8099
Hg 0.8574 0.3263 5.3737
Hg 3.8093 4.4821 1.6208
! * crystal system: triclinic
! * SG: P-1 (2)
! * V: 32.30 Å³/atom
! * ΔE_f: -230 meV/atom

---

# 5
! TbPr6Tm, relaxed, DFT PBE; values from VASP
&SYSTEM
  ibrav = 0, nat = 8, ntyp = 3
/
ATOMIC_SPECIES
Tb 158.93 Tb.upf
Pr 140.91 Pr.upf
Tm 168.93 Tm.upf
CELL_PARAMETERS angstrom
0.0000 5.1516 7.3378
3.6965 0.0000 7.3378
3.6965 5.1516 0.0000
ATOMIC_POSITIONS angstrom
Tb 0.0000 0.0000 0.0000
Pr 1.8482 2.5758 1.8007
Pr 3.6965 5.1516 3.6797
Pr 1.8482 2.5758 5.5371
Pr 5.5447 7.7275 9.1385
Pr 3.6965 5.1516 10.9960
Pr 5.5447 7.7275 12.8750
Tm 3.6965 5.1516 7.3378
! * distance to the lowest polymorph of the same formula: 0.0033 eV per atom
! * crystal system: orthorhombic
! * SG: Fmmm (69)
! * V: 34.93 Å³/atom
! * ΔE_f: 18 meV/atom

---

# 6
! Sb2TeRhN, relaxed, DFT PBE; values from VASP
&SYSTEM
  ibrav = 0, nat = 5, ntyp = 4
/
ATOMIC_SPECIES
Sb 121.76 Sb.upf
Te 127.60 Te.upf
Rh 102.91 Rh.upf
N 14.01 N.upf
CELL_PARAMETERS angstrom
5.0664 0.0000 0.0000
0.0000 5.0664 0.0000
0.0000 0.0000 5.1991
ATOMIC_POSITIONS angstrom
Sb 0.0000 2.5332 0.0000
Sb 2.5332 0.0000 0.0000
Te 0.0000 0.0000 2.5995
Rh 0.0000 0.0000 0.0000
N 2.5332 2.5332 2.5995
! * distance to the lowest polymorph of the same formula: 0.7527 eV per atom
! * crystal system: tetragonal
! * SG: P4/mmm (123)
! * V: 26.69 Å³/atom
! * formation energy (no corrections): 1.417 eV per atom

---

# 7
! CsTaCdO4, relaxed, DFT PBE; values from VASP
&SYSTEM
  ibrav = 0, nat = 14, ntyp = 4
/
ATOMIC_SPECIES
Cs 132.91 Cs.upf
Ta 180.95 Ta.upf
Cd 112.41 Cd.upf
O 16.00 O.upf
CELL_PARAMETERS angstrom
6.0626 0.0000 0.0000
0.0000 6.5091 0.0000
-0.4958 0.0000 8.4361
ATOMIC_POSITIONS angstrom
Cs 1.4412 1.6273 0.2105
Cs 4.1256 4.8818 8.2256
Ta 1.6414 4.8818 2.3474
Ta 3.9254 1.6273 6.0887
Cd 0.4930 1.6273 4.3170
Cd 5.0738 4.8818 4.1191
O 0.6851 3.3853 3.0004
O 0.6851 6.3783 3.0004
O 1.5229 4.8818 0.5204
O 2.1008 1.6273 5.7429
O 3.4660 4.8818 2.6931
O 4.0439 1.6273 7.9157
O 4.8817 0.1308 5.4357
O 4.8817 3.1238 5.4357
! * crystal system: monoclinic
! * SG: P2_1/m (11)
! * V: 23.78 Å³/atom
! * formation energy (no corrections): -2.084 eV per atom

---

# 8
! AlMo3, relaxed, DFT PBE; values from VASP
&SYSTEM
  ibrav = 0, nat = 4, ntyp = 2
/
ATOMIC_SPECIES
Al 26.98 Al.upf
Mo 95.94 Mo.upf
CELL_PARAMETERS angstrom
1.4021 0.8095 9.3228
-1.4021 0.8095 9.3228
0.0000 -1.6190 9.3228
ATOMIC_POSITIONS angstrom
Al 0.0000 0.0000 0.0000
Mo 0.0000 0.0000 7.0449
Mo 0.0000 0.0000 13.9842
Mo 0.0000 0.0000 20.9235
! * distance to the lowest polymorph of the same formula: 0.4573 eV per atom
! * crystal system: trigonal
! * SG: R-3m (166)
! * V: 15.87 Å³/atom
! * ΔE_f: 205 meV/atom

---

# 9
! Te2MoRu, relaxed, DFT PBE; values from VASP
&SYSTEM
  ibrav = 0, nat = 4, ntyp = 3
/
ATOMIC_SPECIES
Te 127.60 Te.upf
Mo 95.94 Mo.upf
Ru 101.07 Ru.upf
CELL_PARAMETERS angstrom
0.0000 3.3273 3.3273
3.3273 0.0000 3.3273
3.3273 3.3273 0.0000
ATOMIC_POSITIONS angstrom
Te 1.6637 1.6637 1.6637
Te 4.9910 4.9910 4.9910
Mo 0.0000 0.0000 0.0000
Ru 3.3273 3.3273 3.3273
! * distance to the lowest polymorph of the same formula: 0.2903 eV per atom
! * crystal system: cubic
! * SG: Fm-3m (225)
! * V: 18.42 Å³/atom
! * formation energy (no corrections): 0.328 eV per atom

---

# 10
! SrCaLa2In4, relaxed, DFT PBE; values from VASP
&SYSTEM
  ibrav = 0, nat = 8, ntyp = 4
/
ATOMIC_SPECIES
Sr 87.62 Sr.upf
Ca 40.08 Ca.upf
La 138.91 La.upf
In 114.82 In.upf
CELL_PARAMETERS angstrom
2.7970 1.6149 9.1598
-2.7970 1.6149 9.1598
0.0000 -3.2297 9.1598
ATOMIC_POSITIONS angstrom
Sr 0.0000 0.0000 0.0000
Ca 0.0000 0.0000 13.7397
La 0.0000 0.0000 6.8272
La 0.0000 0.0000 20.6521
In 0.0000 0.0000 3.4702
In 0.0000 0.0000 10.3468
In 0.0000 0.0000 17.1326
In 0.0000 0.0000 24.0092
! * crystal system: trigonal
! * SG: R-3m (166)
! * V: 31.03 Å³/atom
! * ΔE_f: -467 meV/atom

---

# 11
! NaYZr, relaxed, DFT PBE; values from VASP
&SYSTEM
  ibrav = 0, nat = 6, ntyp = 3
/
ATOMIC_SPECIES
Na 22.99 Na.upf
Y 88.91 Y.upf
Zr 91.22 Zr.upf
CELL_PARAMETERS angstrom
4.6622 0.0000 0.0000
0.0000 4.6622 0.0000
0.0000 0.0000 8.2048
ATOMIC_POSITIONS angstrom
Na 1.1655 1.1655 1.4362
Na 3.4966 3.4966 6.7685
Y 1.1655 3.4966 4.1024
Y 3.4966 1.1655 4.1024
Zr 1.1655 1.1655 6.5021
Zr 3.4966 3.4966 1.7026
! * distance to the lowest polymorph of the same formula: 0.7161 eV per atom
! * crystal system: tetragonal
! * SG: P4/nmm (129)
! * V: 29.72 Å³/atom
! * ΔE_f: 811 meV/atom

---

# 12
! Sr2LaCu, relaxed, DFT PBE; values from VASP
&SYSTEM
  ibrav = 0, nat = 4, ntyp = 3
/
ATOMIC_SPECIES
Sr 87.62 Sr.upf
La 138.91 La.upf
Cu 63.55 Cu.upf
CELL_PARAMETERS angstrom
-2.4866 2.4866 5.7239
2.4866 -2.4866 5.7239
2.4866 2.4866 -5.7239
ATOMIC_POSITIONS angstrom
Sr 0.0000 0.0000 0.0000
Sr 0.0000 2.4866 2.8619
La 0.0000 0.0000 5.7239
Cu 2.4866 0.0000 2.8619
! * distance to the lowest polymorph of the same formula: 0.3437 eV per atom
! * crystal system: tetragonal
! * SG: I-4m2 (119)
! * V: 35.39 Å³/atom
! * ΔE_f: 358 meV/atom